No. 1
## HfZn4Rh (GGA-PBE)

Data for a geometry-optimized HfZn4Rh structure.

Results
Energy of formation = -0.28 eV/atom
Total moment = 0.134 μB per atom
N(E_F) = 0.96 states/eV/atom

Cell: 5.024 5.024 5.024 Å, 60.00 60.00 60.00°
Atoms (fractional coordinates):
Hf  0.000  0.000  0.000
Zn  0.375  0.375  0.375
Zn  0.375  0.375  0.874
Zn  0.375  0.874  0.375
Zn  0.874  0.375  0.375
Rh  0.750  0.750  0.750


No. 2
## Hf2ZnRh2 (GGA-PBE)

Data for a geometry-optimized Hf2ZnRh2 structure.

Results
Energy of formation = -0.31 eV/atom
Total moment = 0.000 μB per atom
N(E_F) = 0.40 states/eV/atom

Cell: 6.159 6.159 6.159 Å, 138.05 138.05 60.83°
Atoms (fractional coordinates):
Hf  0.250  0.750  0.500
Hf  0.750  0.250  0.500
Zn  0.000  0.000  0.000
Rh  0.383  0.383  0.000
Rh  0.617  0.617  0.000


No. 3
## Hf2ZnRh2 (GGA-PBE)

Data for a geometry-optimized Hf2ZnRh2 structure.

Results
Energy of formation = -0.45 eV/atom
Total moment = 0.000 μB per atom
N(E_F) = 0.83 states/eV/atom

Cell: 7.701 7.701 3.106 Å, 90.00 90.00 90.00°
Atoms (fractional coordinates):
Hf  0.155  0.345  0.000
Hf  0.345  0.845  0.000
Hf  0.655  0.155  0.000
Hf  0.845  0.655  0.000
Zn  0.000  0.000  0.000
Zn  0.500  0.500  0.000
Rh  0.138  0.638  0.500
Rh  0.362  0.138  0.500
Rh  0.638  0.862  0.500
Rh  0.862  0.362  0.500